Record 1
Below is an optimized crystal structure of SrErAsO, with properties calculated at the PBE level.

The calculation puts the spin magnetization at 0.00 μB/cell. The calculation puts the energy above the most stable polymorph in this dataset at 403 meV per atom.

The space group is P4/nmm (No. 129, origin choice 2) and the conventional cell measures 4.364, 4.364 and 9.237 Å, with angles of 90.00, 90.00 and 90.00 degrees. Symmetry generates all atoms from Sr at (0.250, 0.750, 0.000), Er at (0.250, 0.250, 0.416), As at (0.250, 0.250, 0.777) and O at (0.250, 0.750, 0.500).

***

Record 2
Below is an optimized crystal structure of SrErAsO, with properties calculated at the PBE level.

The calculation puts the spin magnetization at 0.00 μB/cell. The calculation puts the energy above the most stable polymorph in this dataset at 263 meV per atom.

The space group is P4/nmm (No. 129, origin choice 2) and the conventional cell measures 5.486, 5.486 and 5.790 Å, with angles of 90.00, 90.00 and 90.00 degrees. Symmetry generates all atoms from Sr at (0.250, 0.250, 0.005), Er at (0.250, 0.750, 0.500), As at (0.250, 0.250, 0.506) and O at (0.250, 0.750, 0.000).

***

Record 3
Below is an optimized crystal structure of SrErAsO, with properties calculated at the PBE level.

The calculation puts the spin magnetization at 0.00 μB/cell. The calculation puts the energy above the most stable polymorph in this dataset at 0 meV per atom.

The space group is Pmc2_1 (No. 26) and the conventional cell measures 4.622, 7.208 and 6.459 Å, with angles of 90.00, 90.00 and 90.00 degrees. Symmetry generates all atoms from Sr at (0.000, 0.202, 0.000), Er at (0.500, 0.394, 0.610), As at (0.000, 0.228, 0.478) and O at (0.500, 0.352, 0.941).

***

Record 4
Below is an optimized crystal structure of SrErAsO, with properties calculated at the PBE level.

The calculation puts the spin magnetization at 0.00 μB/cell. The calculation puts the energy above the most stable polymorph in this dataset at 109 meV per atom.

The space group is Pmc2_1 (No. 26) and the conventional cell measures 4.047, 6.704 and 7.158 Å, with angles of 90.00, 90.00 and 90.00 degrees. Symmetry generates all atoms from Sr at (0.000, 0.049, 0.000), Er at (0.500, 0.371, 0.344), As at (0.500, 0.236, 0.720) and O at (0.000, 0.260, 0.281).

***

Record 5
Below is an optimized crystal structure of ErTeAsO6, with properties calculated at the PBE level.

The calculation puts the spin magnetization at 0.00 μB/cell. Its uncorrected energy is -57.318 eV per formula unit.

The space group is P-31c (No. 163) and the conventional cell measures 5.2850, 5.2850 and 9.4518 Å, with angles of 90.00, 90.00 and 120.00 degrees. Symmetry generates all atoms from Er at (0.0000, 0.0000, 0.0000), Te at (0.3333, 0.6667, 0.2500), As at (0.3333, 0.6667, 0.7500) and O at (0.0282, 0.3661, 0.1339).

***

Record 6
Below is an optimized crystal structure of ErTmAsO, with properties calculated at the PBE level.

The calculation puts the spin magnetization at 0.02 μB/cell. The calculation puts the energy above the most stable polymorph in this dataset at 0 meV per atom.

The space group is Pmc2_1 (No. 26) and the conventional cell measures 4.111, 7.479 and 5.851 Å, with angles of 90.00, 90.00 and 90.00 degrees. Symmetry generates all atoms from Er at (0.000, 0.214, 0.000), Tm at (0.500, 0.388, 0.574), As at (0.000, 0.160, 0.489) and O at (0.500, 0.330, 0.941).

***

Record 7
Below is an optimized crystal structure of ErTmAsO, with properties calculated at the PBE level.

The calculation puts the spin magnetization at 0.02 μB/cell. The calculation puts the energy above the most stable polymorph in this dataset at 93 meV per atom.

The space group is P4/nmm (No. 129, origin choice 2) and the conventional cell measures 4.286, 4.286 and 8.637 Å, with angles of 90.00, 90.00 and 90.00 degrees. Symmetry generates all atoms from Er at (0.250, 0.750, 0.000), Tm at (0.250, 0.250, 0.402), As at (0.250, 0.250, 0.792) and O at (0.250, 0.750, 0.500).

***

Record 8
Below is an optimized crystal structure of ErTmAsO, with properties calculated at the PBE level.

The calculation puts the spin magnetization at 0.01 μB/cell. The calculation puts the energy above the most stable polymorph in this dataset at 8 meV per atom.

The space group is Pmc2_1 (No. 26) and the conventional cell measures 4.090, 7.558 and 5.798 Å, with angles of 90.00, 90.00 and 90.00 degrees. Symmetry generates all atoms from Er at (0.000, 0.114, 0.000), Tm at (0.500, 0.286, 0.431), As at (0.500, 0.345, 0.920) and O at (0.000, 0.172, 0.374).